(1)
CsAg2RuF8: optimized geometry, PBE-GGA.

Values from the calculation:
total DFT energy (no corrections)	-4.198	eV per atom
formation energy without anion corrections	-1.631	eV/atom
M_tot	0.257	μB per atom
space group	R-3

abc: 9.140 9.140 9.140
angles: 34.08 34.08 34.08
Element x y z (fractional)
1 Cs 0.000 0.000 0.000
2 Ag 0.264 0.264 0.264
3 Ag 0.736 0.736 0.736
4 Ru 0.500 0.500 0.500
5 F 0.169 0.448 0.754
6 F 0.246 0.831 0.552
7 F 0.347 0.347 0.347
8 F 0.448 0.754 0.169
9 F 0.552 0.246 0.831
10 F 0.653 0.653 0.653
11 F 0.754 0.169 0.448
12 F 0.831 0.552 0.246

***

(2)
Y2AlIn: optimized geometry, PBE-GGA.

Values from the calculation:
total DFT energy (no corrections)	-5.249	eV per atom
calculated formation energy	-0.3963	eV per atom
M_tot	0.000	μB per atom
space group	Imm2

abc: 6.200 6.200 6.200
angles: 143.57 133.18 60.73
Element x y z (fractional)
1 Y 0.000 0.000 0.000
2 Y 0.735 0.235 0.500
3 Al 0.267 0.767 0.500
4 In 0.462 0.462 0.000

***

(3)
Ac2SmEr: optimized geometry, PBE-GGA.

Values from the calculation:
total DFT energy (no corrections)	-4.332	eV per atom
calculated formation energy	0.0425	eV per atom
M_tot	0.000	μB per atom
energy relative to the lowest polymorph listed for this composition	0	meV/atom
space group	P4/mmm

abc: 5.429 5.429 5.156
angles: 90.00 90.00 90.00
Element x y z (fractional)
1 Ac 0.000 0.500 0.000
2 Ac 0.500 0.000 0.000
3 Sm 0.000 0.000 0.500
4 Er 0.500 0.500 0.500

***

(4)
AgPt3: optimized geometry, PBE-GGA.

Values from the calculation:
total DFT energy (no corrections)	-5.208	eV per atom
calculated formation energy	0.0358	eV per atom
M_tot	0.000	μB per atom
space group	Pnma

abc: 4.869 9.291 5.695
angles: 90.00 90.00 90.00
Element x y z (fractional)
1 Ag 0.084 0.250 0.134
2 Ag 0.416 0.750 0.634
3 Ag 0.584 0.250 0.366
4 Ag 0.916 0.750 0.866
5 Pt 0.096 0.250 0.637
6 Pt 0.245 0.504 0.379
7 Pt 0.245 0.996 0.379
8 Pt 0.255 0.004 0.879
9 Pt 0.255 0.496 0.879
10 Pt 0.404 0.750 0.137
11 Pt 0.596 0.250 0.863
12 Pt 0.745 0.504 0.121
13 Pt 0.745 0.996 0.121
14 Pt 0.755 0.004 0.621
15 Pt 0.755 0.496 0.621
16 Pt 0.904 0.750 0.363

***

(5)
CeCu3Sb3: optimized geometry, PBE-GGA.

Values from the calculation:
total DFT energy (no corrections)	-4.353	eV per atom
formation energy without anion corrections	0.017	eV/atom
M_tot	0.175	μB per atom
space group	Pm-3n

abc: 7.074 7.074 7.074
angles: 90.00 90.00 90.00
Element x y z (fractional)
1 Ce 0.000 0.000 0.000
2 Ce 0.500 0.500 0.500
3 Cu 0.000 0.250 0.500
4 Cu 0.000 0.750 0.500
5 Cu 0.250 0.500 0.000
6 Cu 0.500 0.000 0.250
7 Cu 0.500 0.000 0.750
8 Cu 0.750 0.500 0.000
9 Sb 0.000 0.500 0.250
10 Sb 0.000 0.500 0.750
11 Sb 0.250 0.000 0.500
12 Sb 0.500 0.250 0.000
13 Sb 0.500 0.750 0.000
14 Sb 0.750 0.000 0.500

***

(6)
BaAc2Ge: optimized geometry, PBE-GGA.

Values from the calculation:
total DFT energy (no corrections)	-3.950	eV per atom
calculated formation energy	-0.2604	eV per atom
M_tot	0.196	μB per atom
energy relative to the lowest polymorph listed for this composition	8	meV/atom
space group	R-3m

abc: 11.318 11.318 11.318
angles: 22.71 22.71 22.71
Element x y z (fractional)
1 Ba 0.000 0.000 0.000
2 Ac 0.221 0.221 0.221
3 Ac 0.779 0.779 0.779
4 Ge 0.500 0.500 0.500

***

(7)
Nd3YIn2: optimized geometry, PBE-GGA.

Values from the calculation:
total DFT energy (no corrections)	-4.642	eV per atom
calculated formation energy	-0.2679	eV per atom
M_tot	0.000	μB per atom
energy relative to the lowest polymorph listed for this composition	90	meV/atom
space group	C2/m

abc: 8.579 8.579 10.318
angles: 117.36 117.36 34.16
Element x y z (fractional)
1 Nd 0.041 0.041 0.360
2 Nd 0.289 0.289 0.624
3 Nd 0.366 0.366 0.323
4 Nd 0.634 0.634 0.677
5 Nd 0.711 0.711 0.376
6 Nd 0.959 0.959 0.640
7 Y 0.119 0.119 0.072
8 Y 0.881 0.881 0.928
9 In 0.249 0.249 0.912
10 In 0.487 0.487 0.133
11 In 0.513 0.513 0.867
12 In 0.751 0.751 0.088

***

(8)
BaBiHIr2: optimized geometry, PBE-GGA.

Values from the calculation:
total DFT energy (no corrections)	-4.836	eV per atom
M_tot	0.000	μB per atom
space group	P4/mmm

abc: 4.515 4.515 4.657
angles: 90.00 90.00 90.00
Element x y z (fractional)
1 Ba 0.000 0.000 0.000
2 Bi 0.500 0.500 0.000
3 H 0.500 0.500 0.500
4 Ir 0.000 0.500 0.500
5 Ir 0.500 0.000 0.500

***

(9)
Sr2CaHgO: optimized geometry, PBE-GGA.

Values from the calculation:
total DFT energy (no corrections)	-3.431	eV per atom
formation energy without anion corrections	-1.306	eV/atom
M_tot	0.000	μB per atom
space group	P4/mmm

abc: 5.349 5.349 4.673
angles: 90.00 90.00 90.00
Element x y z (fractional)
1 Sr 0.000 0.500 0.000
2 Sr 0.500 0.000 0.000
3 Ca 0.000 0.000 0.500
4 Hg 0.500 0.500 0.500
5 O 0.000 0.000 0.000

***

(10)
Al2HgPb: optimized geometry, PBE-GGA.

Values from the calculation:
total DFT energy (no corrections)	-2.644	eV per atom
calculated formation energy	0.2296	eV per atom
M_tot	0.000	μB per atom
energy relative to the lowest polymorph listed for this composition	84	meV/atom
space group	P2/m

abc: 3.373 4.542 6.228
angles: 90.00 92.95 90.00
Element x y z (fractional)
1 Al 0.024 0.000 0.247
2 Al 0.976 0.000 0.753
3 Hg 0.000 0.500 0.500
4 Pb 0.500 0.500 0.000

***

(11)
HgWAu2: optimized geometry, PBE-GGA.

Values from the calculation:
total DFT energy (no corrections)	-4.429	eV per atom
calculated formation energy	0.5237	eV per atom
M_tot	0.000	μB per atom
space group	Cm

abc: 4.949 4.949 5.418
angles: 97.64 97.64 33.68
Element x y z (fractional)
1 Hg 0.000 0.000 0.000
2 W 0.252 0.252 0.728
3 Au 0.508 0.508 0.519
4 Au 0.754 0.754 0.250

***

(12)
La2SiGe3Pd4: optimized geometry, PBE-GGA.

Values from the calculation:
total DFT energy (no corrections)	-5.854	eV per atom
formation energy without anion corrections	-0.864	eV/atom
M_tot	0.000	μB per atom
space group	P-4m2

abc: 4.393 4.393 10.093
angles: 90.00 90.00 90.00
Element x y z (fractional)
1 La 0.000 0.500 0.245
2 La 0.500 0.000 0.755
3 Si 0.500 0.500 0.000
4 Ge 0.000 0.000 0.000
5 Ge 0.000 0.500 0.630
6 Ge 0.500 0.000 0.370
7 Pd 0.000 0.000 0.500
8 Pd 0.000 0.500 0.880
9 Pd 0.500 0.000 0.120
10 Pd 0.500 0.500 0.500

***

(13)
Cs2TaZn2O6: optimized geometry, PBE-GGA.

Values from the calculation:
total DFT energy (no corrections)	-5.951	eV per atom
formation energy without anion corrections	-1.782	eV/atom
M_tot	0.098	μB per atom
space group	R-3m

abc: 7.246 7.246 7.246
angles: 49.21 49.21 49.21
Element x y z (fractional)
1 Cs 0.211 0.211 0.211
2 Cs 0.789 0.789 0.789
3 Ta 0.000 0.000 0.000
4 Zn 0.393 0.393 0.393
5 Zn 0.607 0.607 0.607
6 O 0.217 0.217 0.755
7 O 0.217 0.755 0.217
8 O 0.245 0.783 0.783
9 O 0.755 0.217 0.217
10 O 0.783 0.245 0.783
11 O 0.783 0.783 0.245

***

(14)
MgNbFe3: optimized geometry, PBE-GGA.

Values from the calculation:
total DFT energy (no corrections)	-5.954	eV per atom
calculated formation energy	1.4561	eV per atom
M_tot	1.084	μB per atom
energy relative to the lowest polymorph listed for this composition	243	meV/atom
space group	Pm-3m

abc: 4.333 4.333 4.333
angles: 90.00 90.00 90.00
Element x y z (fractional)
1 Mg 0.000 0.000 0.000
2 Nb 0.500 0.500 0.500
3 Fe 0.000 0.000 0.500
4 Fe 0.000 0.500 0.000
5 Fe 0.500 0.000 0.000

***

(15)
CsOsPb3: optimized geometry, PBE-GGA.

Values from the calculation:
total DFT energy (no corrections)	-2.133	eV per atom
calculated formation energy	2.5088	eV per atom
M_tot	0.592	μB per atom
energy relative to the lowest polymorph listed for this composition	2032	meV/atom
space group	Pm-3m

abc: 6.163 6.163 6.163
angles: 90.00 90.00 90.00
Element x y z (fractional)
1 Cs 0.000 0.000 0.000
2 Os 0.500 0.500 0.500
3 Pb 0.000 0.000 0.500
4 Pb 0.000 0.500 0.000
5 Pb 0.500 0.000 0.000

***

(16)
TlCr2Cl: optimized geometry, PBE-GGA.

Values from the calculation:
total DFT energy (no corrections)	-5.296	eV per atom
formation energy without anion corrections	0.569	eV/atom
M_tot	2.201	μB per atom
energy relative to the lowest polymorph listed for this composition	437	meV/atom
space group	I-4m2

abc: 6.298 6.298 6.298
angles: 143.70 143.70 52.28
Element x y z (fractional)
1 Tl 0.000 0.000 0.000
2 Cr 0.500 0.500 0.000
3 Cr 0.750 0.250 0.500
4 Cl 0.250 0.750 0.500

***

(17)
Bi2Se3: optimized geometry, PBE-GGA.

Values from the calculation:
total DFT energy (no corrections)	-4.039	eV per atom
formation energy without anion corrections	-0.396	eV/atom
M_tot	0.000	μB per atom
space group	P2_1/m

abc: 7.512 4.187 10.468
angles: 90.00 90.71 90.00
Element x y z (fractional)
1 Bi 0.088 0.250 0.150
2 Bi 0.250 0.750 0.489
3 Bi 0.750 0.250 0.511
4 Bi 0.912 0.750 0.850
5 Se 0.070 0.250 0.665
6 Se 0.237 0.750 0.997
7 Se 0.408 0.250 0.340
8 Se 0.592 0.750 0.660
9 Se 0.763 0.250 0.003
10 Se 0.930 0.750 0.335

***

(18)
HfTlS2: optimized geometry, PBE-GGA.

Values from the calculation:
total DFT energy (no corrections)	-6.100	eV per atom
formation energy without anion corrections	-0.957	eV/atom
M_tot	0.000	μB per atom
space group	C2/c

abc: 7.728 7.728 15.381
angles: 96.60 96.60 88.61
Element x y z (fractional)
1 Hf 0.115 0.681 0.828
2 Hf 0.317 0.452 0.672
3 Hf 0.319 0.885 0.672
4 Hf 0.452 0.317 0.172
5 Hf 0.548 0.683 0.828
6 Hf 0.681 0.115 0.328
7 Hf 0.683 0.548 0.328
8 Hf 0.885 0.319 0.172
9 Tl 0.122 0.740 0.105
10 Tl 0.240 0.359 0.386
11 Tl 0.260 0.878 0.395
12 Tl 0.359 0.240 0.886
13 Tl 0.641 0.760 0.114
14 Tl 0.740 0.122 0.605
15 Tl 0.760 0.641 0.614
16 Tl 0.878 0.260 0.895
17 S 0.033 0.423 0.724
18 S 0.061 0.939 0.750
19 S 0.143 0.320 0.091
20 S 0.271 0.642 0.553
21 S 0.320 0.143 0.591
22 S 0.358 0.729 0.947
23 S 0.394 0.606 0.250
24 S 0.423 0.033 0.224
25 S 0.577 0.967 0.776
26 S 0.606 0.394 0.750
27 S 0.642 0.271 0.053
28 S 0.680 0.857 0.409
29 S 0.729 0.358 0.447
30 S 0.857 0.680 0.909
31 S 0.939 0.061 0.250
32 S 0.967 0.577 0.276

***

(19)
Sr2TaSi: optimized geometry, PBE-GGA.

Values from the calculation:
total DFT energy (no corrections)	-4.444	eV per atom
formation energy without anion corrections	0.716	eV/atom
M_tot	0.000	μB per atom
space group	Cmmm

abc: 5.957 5.957 3.261
angles: 90.00 90.00 118.14
Element x y z (fractional)
1 Sr 0.000 0.500 0.000
2 Sr 0.500 0.000 0.000
3 Ta 0.000 0.000 0.500
4 Si 0.500 0.500 0.500

***

(20)
Ti2Zn2Si: optimized geometry, PBE-GGA.

Values from the calculation:
total DFT energy (no corrections)	-4.902	eV per atom
formation energy without anion corrections	-0.150	eV/atom
M_tot	0.000	μB per atom
energy relative to the lowest polymorph listed for this composition	0	meV/atom
space group	P4/mbm

abc: 6.259 6.259 3.939
angles: 90.00 90.00 90.00
Element x y z (fractional)
1 Ti 0.169 0.331 0.000
2 Ti 0.331 0.831 0.000
3 Ti 0.669 0.169 0.000
4 Ti 0.831 0.669 0.000
5 Zn 0.134 0.634 0.500
6 Zn 0.366 0.134 0.500
7 Zn 0.634 0.866 0.500
8 Zn 0.866 0.366 0.500
9 Si 0.000 0.000 0.500
10 Si 0.500 0.500 0.500